a) This record from Alexandria via LeMat-Bulk describes crystalline TcWBr at its relaxed geometry. The functional is GGA-PBE.

Calculated values
**SG**: Imm2 (44)
**Crystal system**: orthorhombic
**Density of states at the Fermi level**: 2.8 states/eV/f.u.

Cell lengths 4.7226, 4.7226, 4.7226 Å; angles 143.17, 127.68, 65.69 degrees
With the nearest neighbours (Å) after each atom.
Atoms (fractional coordinates):
1 Br 0.9981 0.9981 0.0000  5 W 2.60-2.90, 5 Tc 2.65-2.88
2 Tc 0.3315 0.3315 0.0000  5 Br 2.65-2.88, 5 W 2.69-2.86
3 W 0.6704 0.6704 0.0000  5 Br 2.60-2.90, 5 Tc 2.69-2.86

=====

b) This record from Alexandria via LeMat-Bulk describes crystalline TcWBr at its relaxed geometry. The functional is GGA-PBE.

Calculated values
**SG**: P3m1 (156)
**Crystal system**: trigonal
**Density of states at the Fermi level**: 1.3 states/eV/f.u.

Cell lengths 3.3663, 3.3663, 6.1208 Å; angles 90.00, 90.00, 120.00 degrees
With the nearest neighbours (Å) after each atom.
Atoms (fractional coordinates):
1 Br 0.0000 0.0000 0.9923  3 W 2.99, 3 Tc 3.09
2 Tc 0.6667 0.3333 0.3857  3 W 2.42
3 W 0.3333 0.6667 0.6221  3 Tc 2.42

=====

c) This record from Alexandria via LeMat-Bulk describes crystalline TcWBr at its relaxed geometry. The functional is GGA-PBE.

Calculated values
**SG**: P3m1 (156)
**Crystal system**: trigonal
**Density of states at the Fermi level**: 1.6 states/eV/f.u.

Cell lengths 4.3326, 4.3326, 2.9907 Å; angles 90.00, 90.00, 120.00 degrees
With the nearest neighbours (Å) after each atom.
Atoms (fractional coordinates):
1 Br 0.0000 0.0000 0.9688  3 W 2.57, 3 Tc 2.65
2 Tc 0.6667 0.3333 0.2578  3 Br 2.65, 6 W 2.89-2.94
3 W 0.3333 0.6667 0.7734  3 Br 2.57

=====

d) This record from Alexandria via LeMat-Bulk describes crystalline TcWBr at its relaxed geometry. The functional is GGA-PBE.

Calculated values
**SG**: F-43m (216)
**Crystal system**: cubic
**Density of states at the Fermi level**: 0.5 states/eV/f.u.

Cell lengths 4.3276, 4.3276, 4.3276 Å; angles 60.00, 60.00, 60.00 degrees
With the nearest neighbours (Å) after each atom.
Atoms (fractional coordinates):
1 Br 0.5000 0.5000 0.5000  4 Tc 2.65
2 Tc 0.7500 0.7500 0.7500  4 W 2.65, 4 Br 2.65
3 W 0.0000 0.0000 0.0000  4 Tc 2.65

=====

Need the numbers? Relative energies in meV per atom: a) 604; b) 0; c) 459; d) 690.

=====

a) This record from Alexandria via LeMat-Bulk describes crystalline YTcBr2 at its relaxed geometry. The functional is GGA-PBE.

Calculated values
**SG**: Pmmm (47)
**Crystal system**: orthorhombic
**Density of states at the Fermi level**: 3.0 states/eV/f.u.

Cell lengths 3.4118, 5.7936, 4.6107 Å; angles 90.00, 90.00, 90.00 degrees
With the nearest neighbours (Å) after each atom.
Atoms (fractional coordinates):
1 Y 0.0000 0.5000 0.5000  4 Br 2.87
2 Tc 0.5000 0.0000 0.5000  4 Br 2.87
3 Br 0.0000 0.0000 0.0000  4 Tc 2.87
4 Br 0.5000 0.5000 0.0000  4 Y 2.87

=====

b) This record from Alexandria via LeMat-Bulk describes crystalline YTcBr2 at its relaxed geometry. The functional is GGA-PBE.

Calculated values
**SG**: Pm (6)
**Crystal system**: monoclinic

Cell lengths 3.4410, 4.2077, 7.9494 Å; angles 74.76, 90.00, 90.00 degrees
With the nearest neighbours (Å) after each atom.
Atoms (fractional coordinates):
1 Y 0.5000 0.7117 0.7021  4 Tc 2.91, 4 Br 3.13-3.14
2 Tc 0.0000 0.2797 0.5656  3 Br 2.52-2.61
3 Br 0.0000 0.1079 0.9061  1 Tc 2.61
4 Br 0.5000 0.4006 0.3262  2 Tc 2.52

=====

c) This record from Alexandria via LeMat-Bulk describes crystalline YTcBr2 at its relaxed geometry. The functional is GGA-PBE.

Calculated values
**SG**: R3m (160)
**Crystal system**: trigonal
**Density of states at the Fermi level**: 1.6 states/eV/f.u.

Cell lengths 9.5466, 9.5466, 9.5466 Å; angles 22.18, 22.18, 22.18 degrees
With the nearest neighbours (Å) after each atom.
Atoms (fractional coordinates):
1 Y 0.7575 0.7575 0.7575  3 Br 2.91, 3 Tc 3.06
2 Tc 0.5034 0.5034 0.5034  3 Br 2.53
3 Br 0.0195 0.0195 0.0195  3 Y 2.91
4 Br 0.2196 0.2196 0.2196  3 Tc 2.53

=====

Need the numbers? Relative energies in meV per atom: a) 458; b) 0; c) 78.

=====

a) This record from Alexandria via LeMat-Bulk describes crystalline YTcBr2 at its relaxed geometry. The functional is GGA-PBE.

Calculated values
**SG**: Fm-3m (225)
**Crystal system**: cubic
**Density of states at the Fermi level**: 5.0 states/eV/f.u.

Cell lengths 4.9478, 4.9478, 4.9478 Å; angles 60.00, 60.00, 60.00 degrees
With the nearest neighbours (Å) after each atom.
Atoms (fractional coordinates):
1 Y 0.0000 0.0000 0.0000  8 Br 3.03
2 Tc 0.5000 0.5000 0.5000  8 Br 3.03
3 Br 0.2500 0.2500 0.2500  4 Tc 3.03, 4 Y 3.03
4 Br 0.7500 0.7500 0.7500  4 Tc 3.03, 4 Y 3.03

=====

b) This record from Alexandria via LeMat-Bulk describes crystalline YTcBr2 at its relaxed geometry. The functional is GGA-PBE.

Calculated values
**SG**: Cmmm (65)
**Crystal system**: orthorhombic
**Density of states at the Fermi level**: 3.0 states/eV/f.u.

Cell lengths 3.5820, 3.5820, 9.2705 Å; angles 90.00, 90.00, 122.32 degrees
With the nearest neighbours (Å) after each atom.
Atoms (fractional coordinates):
1 Y 0.5000 0.5000 0.7500  4 Br 2.93
2 Tc 0.5000 0.5000 0.2500  4 Br 2.85
3 Br 0.0000 0.0000 0.0055  2 Tc 2.85, 2 Y 2.93
4 Br 0.0000 0.0000 0.4945  2 Tc 2.85, 2 Y 2.93

=====

c) This record from Alexandria via LeMat-Bulk describes crystalline YTcBr2 at its relaxed geometry. The functional is GGA-PBE.

Calculated values
**SG**: R-3m (166)
**Crystal system**: trigonal
**Density of states at the Fermi level**: 4.1 states/eV/f.u.

Cell lengths 9.3734, 9.3734, 9.3734 Å; angles 21.75, 21.75, 21.75 degrees
With the nearest neighbours (Å) after each atom.
Atoms (fractional coordinates):
1 Y 0.0000 0.0000 0.0000  2 Br 2.91
2 Tc 0.5000 0.5000 0.5000  6 Br 2.64
3 Br 0.8940 0.8940 0.8940  3 Tc 2.64, 1 Y 2.91
4 Br 0.1060 0.1060 0.1060  3 Tc 2.64, 1 Y 2.91

=====

Need the numbers? Relative energies in meV per atom: a) 0; b) 138; c) 208.

=====

a) This record from Alexandria via LeMat-Bulk describes crystalline YTcBr2 at its relaxed geometry. The functional is GGA-PBE.

Calculated values
**SG**: I-4m2 (119)
**Crystal system**: tetragonal
**Density of states at the Fermi level**: 4.9 states/eV/f.u.

Cell lengths 6.1069, 6.1069, 6.1069 Å; angles 141.23, 141.23, 55.99 degrees
With the nearest neighbours (Å) after each atom.
Atoms (fractional coordinates):
1 Y 0.7500 0.2500 0.5000  4 Br 2.87
2 Tc 0.5000 0.5000 0.0000  4 Br 2.87
3 Br 0.0000 0.0000 0.0000  4 Tc 2.87
4 Br 0.2500 0.7500 0.5000  4 Y 2.87

=====

b) This record from Alexandria via LeMat-Bulk describes crystalline YTcBr2 at its relaxed geometry. The functional is GGA-PBE.

Calculated values
**SG**: Cm (8)
**Crystal system**: monoclinic

Cell lengths 5.9509, 5.9509, 5.8440 Å; angles 91.65, 91.65, 33.63 degrees
With the nearest neighbours (Å) after each atom.
Atoms (fractional coordinates):
1 Y 0.2235 0.2235 0.1622  2 Tc 2.76, 3 Br 2.99-3.00
2 Tc 0.5854 0.5854 0.4067  3 Br 2.52-2.54, 2 Y 2.76
3 Br 0.9619 0.9618 0.1879  2 Tc 2.54
4 Br 0.7292 0.7292 0.7431  1 Tc 2.52

=====

Need the numbers? Relative energies in meV per atom: a) 373; b) 0.

=====

a) This record from Alexandria via LeMat-Bulk describes crystalline YTcBr2 at its relaxed geometry. The functional is GGA-PBE.

Calculated values
**SG**: P4mm (99)
**Crystal system**: tetragonal
**Density of states at the Fermi level**: 2.9 states/eV/f.u.

Cell lengths 3.6035, 3.6035, 8.3337 Å; angles 90.00, 90.00, 90.00 degrees
With the nearest neighbours (Å) after each atom.
Atoms (fractional coordinates):
1 Y 0.5000 0.5000 0.7166  4 Tc 3.08, 5 Br 3.08-3.10
2 Tc 0.0000 0.0000 0.5089  4 Br 2.89, 4 Y 3.08
3 Br 0.0000 0.0000 0.9279  4 Y 3.10
4 Br 0.5000 0.5000 0.3465  4 Tc 2.89, 1 Y 3.08

=====

b) This record from Alexandria via LeMat-Bulk describes crystalline YTcBr2 at its relaxed geometry. The functional is GGA-PBE.

Calculated values
**SG**: C2/m (12)
**Crystal system**: monoclinic
**Density of states at the Fermi level**: 2.5 states/eV/f.u.

Cell lengths 7.6249, 7.6249, 4.6313 Å; angles 87.43, 87.43, 27.34 degrees
With the nearest neighbours (Å) after each atom.
Atoms (fractional coordinates):
1 Y 0.2500 0.2500 0.2500  4 Tc 2.93, 4 Br 2.95
2 Tc 0.7500 0.7500 0.7500  2 Br 2.53
3 Br 0.8942 0.8942 0.0238  1 Tc 2.53
4 Br 0.6058 0.6058 0.4762  1 Tc 2.53

=====

Need the numbers? Relative energies in meV per atom: a) 152; b) 0.

=====

a) This record from Alexandria via LeMat-Bulk describes crystalline YTcBr2 at its relaxed geometry. The functional is GGA-PBE.

Calculated values
**SG**: P4/mmm (123)
**Crystal system**: tetragonal
**Density of states at the Fermi level**: 2.9 states/eV/f.u.

Cell lengths 4.6803, 4.6803, 3.5986 Å; angles 90.00, 90.00, 90.00 degrees
With the nearest neighbours (Å) after each atom.
Atoms (fractional coordinates):
1 Y 0.0000 0.5000 0.5000  8 Br 2.95
2 Tc 0.5000 0.0000 0.5000  8 Br 2.95
3 Br 0.0000 0.0000 0.0000  4 Y 2.95, 4 Tc 2.95
4 Br 0.5000 0.5000 0.0000  4 Tc 2.95, 4 Y 2.95

=====

b) This record from Alexandria via LeMat-Bulk describes crystalline YTcBr2 at its relaxed geometry. The functional is GGA-PBE.

Calculated values
**SG**: Cmmm (65)
**Crystal system**: orthorhombic
**Density of states at the Fermi level**: 2.8 states/eV/f.u.

Cell lengths 4.2535, 4.6393, 4.6424 Å; angles 85.19, 90.00, 90.00 degrees
With the nearest neighbours (Å) after each atom.
Atoms (fractional coordinates):
1 Y 0.5000 0.7500 0.7500  4 Br 2.87, 2 Tc 3.14
2 Tc 0.5000 0.2500 0.2500  4 Br 2.60
3 Br 0.0000 0.0312 0.0312  2 Tc 2.60, 2 Y 2.87
4 Br 0.0000 0.4688 0.4688  2 Tc 2.60, 2 Y 2.87

=====

c) This record from Alexandria via LeMat-Bulk describes crystalline YTcBr2 at its relaxed geometry. The functional is GGA-PBE.

Calculated values
**SG**: R-3m (166)
**Crystal system**: trigonal
**Density of states at the Fermi level**: 4.3 states/eV/f.u.

Cell lengths 9.5561, 9.5561, 9.5561 Å; angles 21.23, 21.23, 21.23 degrees
With the nearest neighbours (Å) after each atom.
Atoms (fractional coordinates):
1 Y 0.5000 0.5000 0.5000  6 Br 2.91
2 Tc 0.0000 0.0000 0.0000  2 Br 2.58
3 Br 0.9077 0.9077 0.9077  1 Tc 2.58
4 Br 0.0923 0.0923 0.0923  1 Tc 2.58

=====

Need the numbers? Relative energies in meV per atom: a) 99; b) 0; c) 37.

=====

a) This record from Alexandria via LeMat-Bulk describes crystalline YTcBr2 at its relaxed geometry. The functional is GGA-PBE.

Calculated values
**SG**: I-42d (122)
**Crystal system**: tetragonal
**Density of states at the Fermi level**: 1.8 states/eV/f.u.

Cell lengths 4.7037, 4.7037, 9.4818 Å; angles 75.64, 75.64, 90.00 degrees
With the nearest neighbours (Å) after each atom.
Atoms (fractional coordinates):
1 Y 0.5000 0.5000 0.0000  4 Br 2.82
2 Y 0.2500 0.7500 0.5000  4 Br 2.82
3 Tc 0.0000 0.0000 0.0000  4 Br 2.73
4 Tc 0.7500 0.2500 0.5000  4 Br 2.73
5 Br 0.6460 0.1250 0.2500  2 Tc 2.73, 2 Y 2.82
6 Br 0.1040 0.6250 0.2500  2 Tc 2.73, 2 Y 2.82
7 Br 0.3750 0.3540 0.7500  2 Tc 2.73, 2 Y 2.82
8 Br 0.8750 0.8960 0.7500  2 Tc 2.73, 2 Y 2.82

=====

b) This record from Alexandria via LeMat-Bulk describes crystalline YTcBr2 at its relaxed geometry. The functional is GGA-PBE.

Calculated values
**SG**: Imm2 (44)
**Crystal system**: orthorhombic
**Density of states at the Fermi level**: 2.6 states/eV/f.u.

Cell lengths 7.4982, 7.4982, 7.4982 Å; angles 153.84, 147.42, 42.26 degrees
With the nearest neighbours (Å) after each atom.
Atoms (fractional coordinates):
1 Y 0.3244 0.8244 0.5000  2 Tc 2.79, 6 Br 2.97-3.08
2 Tc 0.4823 0.4823 0.0000  4 Br 2.70, 2 Y 2.79
3 Br 0.9745 0.9745 0.0000  4 Tc 2.70, 2 Y 2.97
4 Br 0.7188 0.2188 0.5000  4 Y 3.08, 2 Br 3.39

=====

c) This record from Alexandria via LeMat-Bulk describes crystalline YTcBr2 at its relaxed geometry. The functional is GGA-PBE.

Calculated values
**SG**: Immm (71)
**Crystal system**: orthorhombic
**Density of states at the Fermi level**: 2.5 states/eV/f.u.

Cell lengths 7.4286, 7.4286, 7.4286 Å; angles 150.96, 144.95, 46.14 degrees
With the nearest neighbours (Å) after each atom.
Atoms (fractional coordinates):
1 Y 0.2500 0.7500 0.5000  4 Tc 2.91, 4 Br 2.93
2 Tc 0.7500 0.2500 0.5000  4 Br 2.65, 4 Y 2.91
3 Br 0.8880 0.8880 0.0000  2 Tc 2.65, 2 Y 2.93
4 Br 0.6120 0.6120 0.0000  2 Tc 2.65, 2 Y 2.93

=====

d) This record from Alexandria via LeMat-Bulk describes crystalline YTcBr2 at its relaxed geometry. The functional is GGA-PBE.

Calculated values
**SG**: F-43m (216)
**Crystal system**: cubic
**Density of states at the Fermi level**: 4.4 states/eV/f.u.

Cell lengths 5.0612, 5.0612, 5.0612 Å; angles 60.00, 60.00, 60.00 degrees
With the nearest neighbours (Å) after each atom.
Atoms (fractional coordinates):
1 Y 0.7500 0.7500 0.7500  4 Tc 3.10, 4 Br 3.10
2 Tc 0.5000 0.5000 0.5000  4 Br 3.10, 4 Y 3.10
3 Br 0.0000 0.0000 0.0000  4 Y 3.10, 4 Br 3.10
4 Br 0.2500 0.2500 0.2500  4 Br 3.10, 4 Tc 3.10

=====

Need the numbers? Relative energies in meV per atom: a) 351; b) 189; c) 0; d) 744.

=====

a) This record from Alexandria via LeMat-Bulk describes crystalline YTcBr at its relaxed geometry. The functional is GGA-PBE.

Calculated values
**SG**: R-3m (166)
**Crystal system**: trigonal
**Density of states at the Fermi level**: 2.6 states/eV/f.u.

Cell lengths 4.0694, 4.0694, 11.9567 Å; angles 80.20, 80.20, 60.00 degrees
With the nearest neighbours (Å) after each atom.
Atoms (fractional coordinates):
1 Y 0.4377 0.4377 0.6868  3 Br 2.99, 6 Tc 3.09-3.34
2 Y 0.5623 0.5623 0.3132  3 Br 2.99, 6 Tc 3.09-3.34
3 Tc 0.1614 0.1614 0.5157  3 Tc 2.38
4 Tc 0.8386 0.8386 0.4843  3 Tc 2.38
5 Br 0.7187 0.7187 0.8439  3 Y 2.99
6 Br 0.2813 0.2813 0.1561  3 Y 2.99

=====

b) This record from Alexandria via LeMat-Bulk describes crystalline YTcBr at its relaxed geometry. The functional is GGA-PBE.

Calculated values
**SG**: P-6m2 (187)
**Crystal system**: hexagonal
**Density of states at the Fermi level**: 3.7 states/eV/f.u.

Cell lengths 4.4864, 4.4864, 3.4644 Å; angles 90.00, 90.00, 120.00 degrees
With the nearest neighbours (Å) after each atom.
Atoms (fractional coordinates):
1 Y 0.6667 0.3333 0.6664  6 Tc 3.12, 6 Br 3.12, 2 Y 3.46
2 Tc 0.3333 0.6667 0.1669  3 Br 2.59
3 Br 0.0000 0.0000 0.1667  3 Tc 2.59

=====

c) This record from Alexandria via LeMat-Bulk describes crystalline YTcBr at its relaxed geometry. The functional is GGA-PBE.

Calculated values
**SG**: P3m1 (156)
**Crystal system**: trigonal
**Density of states at the Fermi level**: 3.2 states/eV/f.u.

Cell lengths 3.5006, 3.5006, 6.8099 Å; angles 90.00, 90.00, 120.00 degrees
With the nearest neighbours (Å) after each atom.
Atoms (fractional coordinates):
1 Y 0.3333 0.6667 0.6621  3 Tc 2.89, 3 Br 2.95
2 Tc 0.6667 0.3333 0.3593  3 Y 2.89
3 Br 0.0000 0.0000 0.9786  3 Y 2.95, 3 Tc 3.29

=====

d) This record from Alexandria via LeMat-Bulk describes crystalline YTcBr at its relaxed geometry. The functional is GGA-PBE.

Calculated values
**SG**: F-43m (216)
**Crystal system**: cubic
**Density of states at the Fermi level**: 7.3 states/eV/f.u.

Cell lengths 4.9210, 4.9210, 4.9210 Å; angles 60.00, 60.00, 60.00 degrees
With the nearest neighbours (Å) after each atom.
Atoms (fractional coordinates):
1 Y 0.2500 0.2500 0.2500  4 Tc 3.01, 4 Br 3.01
2 Tc 0.5000 0.5000 0.5000  4 Y 3.01
3 Br 0.0000 0.0000 0.0000  4 Y 3.01

=====

Need the numbers? Relative energies in meV per atom: a) 0; b) 994; c) 1046; d) 1697.